# 1
A relaxed SrPOs2 crystal, computed with PBE.

The structure in POSCAR format:
```
SrPOs2
1.0
1.4878 0.8590 9.1578
-1.4878 0.8590 9.1578
0.0000 -1.7180 9.1578
Sr P Os
1 1 2
Direct
0.0000 0.0000 0.0000 Sr
0.7655 0.7655 0.7655 P
0.2370 0.2370 0.2370 Os
0.4911 0.4911 0.4911 Os
```

Calculated values
- D(E_F): 0.64 states/eV per atom
- Total magnetic moment: 0.000 μB/atom
- Formation energy from the elements: 57 kJ per mole of atoms

---

# 2
A relaxed SrPOs2 crystal, computed with PBE.

The structure in POSCAR format:
```
SrPOs2
1.0
1.5855 0.9154 8.2604
-1.5855 0.9154 8.2604
0.0000 -1.8308 8.2604
Sr P Os
1 1 2
Direct
0.0000 0.0000 0.0000 Sr
0.5000 0.5000 0.5000 P
0.2282 0.2282 0.2282 Os
0.7718 0.7718 0.7718 Os
```

Calculated values
- D(E_F): 0.50 states/eV per atom
- Total magnetic moment: 0.000 μB/atom
- Formation energy from the elements: 56 kJ per mole of atoms

---

# 3
A relaxed SrPOs2 crystal, computed with PBE.

The structure in POSCAR format:
```
SrPOs2
1.0
2.8019 -5.2966 0.0000
2.8019 5.2966 0.0000
-1.3325 0.0000 2.3933
Sr P Os
1 1 2
Direct
0.0000 0.0000 0.0000 Sr
0.5000 0.5000 0.0000 P
0.0000 0.5000 0.0000 Os
0.5000 0.0000 0.0000 Os
```

Calculated values
- D(E_F): 0.94 states/eV per atom
- Total magnetic moment: 0.000 μB/atom
- Formation energy from the elements: 78 kJ per mole of atoms